1.
Material: TaBeAsO
Method: DFT, PBE
State: optimized geometry

Crystal system: tetragonal
Energy above the most stable polymorph in this dataset (eV per atom): 0.379

Structure (POSCAR):
```
TaBeAsO
1.0
-1.502 2.372 -2.048
0.692 -1.964 -2.782
-7.225 -3.805 0.890
O Be As Ta
2 2 2 2
Cartesian
0.000 0.000 0.000
-0.405 0.204 -2.415
-4.017 -1.699 -1.970
-3.612 -1.903 0.445
-1.875 -2.152 -1.117
-5.755 -1.450 -0.408
-1.900 0.581 -0.882
-5.730 -4.182 -0.643
```

=====

2.
Material: Na3ReSi5
Method: DFT, PBE
State: optimized geometry

Crystal system: hexagonal
Final energy (eV/cell): -41.089

Structure (POSCAR):
```
Na3ReSi5
1.0
6.573 0.000 0.000
-3.287 5.693 0.000
0.000 0.000 4.110
Na Si Re
3 5 1
Cartesian
1.446 2.505 0.000
-1.841 3.188 0.000
3.681 0.000 0.000
1.563 0.000 2.055
0.000 3.795 2.055
3.287 1.898 2.055
-0.781 1.353 2.055
2.505 4.339 2.055
0.000 0.000 0.000
```

=====

3.
Material: Cu2SnPd
Method: DFT, PBE
State: optimized geometry

Crystal system: cubic
Final energy (eV/cell): -17.302

Structure (POSCAR):
```
Cu2SnPd
1.0
-2.172 -3.179 -2.148
-3.655 0.971 -2.267
0.045 -0.110 -4.408
Cu Pd Sn
2 1 1
Cartesian
-4.336 -1.738 -6.617
0.000 0.000 0.000
-1.445 -0.579 -2.206
-2.891 -1.159 -4.411
```

=====

4.
Material: TbGdNO
Method: DFT, PBE
State: optimized geometry

Crystal system: orthorhombic
Energy above the most stable polymorph in this dataset (eV per atom): 0.000

Structure (POSCAR):
```
TbGdNO
1.0
1.224 -1.242 3.599
-4.677 -0.272 1.497
-0.310 -6.575 -2.164
Tb O Gd N
2 2 2 2
Cartesian
-2.154 -2.309 -0.064
-4.596 -4.641 -0.038
-4.028 -6.292 1.421
-1.489 -1.899 2.073
-1.698 -6.230 0.650
-3.828 -1.962 2.847
-4.498 -2.470 0.677
-2.260 -4.480 -0.777
```